(1)
This record from Alexandria describes crystalline Tb2Nd at its relaxed geometry. The functional is PBE.

size of the total moment = 0.00 μB per formula unit
energy of formation from the pure elements = 0.05 eV/f.u.
raw total energy = -4.661 eV/atom
SG = No. 12

Cell lengths 6.2492, 6.2492, 7.2036 Å; angles 106.90, 106.90, 47.98 degrees
Atoms (fractional coordinates):
Tb1 0.0009 0.0009 0.2525
Tb2 0.3340 0.3340 0.4178
Tb3 0.6660 0.6660 0.5822
Tb4 0.9991 0.9991 0.7475
Nd1 0.3331 0.3331 0.9152
Nd2 0.6669 0.6669 0.0848

(2)
This record from Alexandria describes crystalline Tb5Nd4 at its relaxed geometry. The functional is PBE.

size of the total moment = 0.00 μB per formula unit
energy of formation from the pure elements = 0.14 eV/f.u.
raw total energy = -4.676 eV/atom
SG = No. 139

Cell lengths 8.0837, 8.0837, 8.0837 Å; angles 95.72, 95.72, 143.20 degrees
Atoms (fractional coordinates):
Tb1 0.0000 0.0000 0.0000
Tb2 0.0000 0.3347 0.3347
Tb3 0.0000 0.6653 0.6653
Tb4 0.3347 0.0000 0.3347
Tb5 0.6653 0.0000 0.6653
Nd1 0.3334 0.3334 0.6668
Nd2 0.3334 0.6666 0.0000
Nd3 0.6666 0.3334 0.0000
Nd4 0.6666 0.6666 0.3332

(3)
This record from Alexandria describes crystalline Tb2Nd5 at its relaxed geometry. The functional is PBE.

size of the total moment = 0.00 μB per formula unit
energy of formation from the pure elements = 0.94 eV/f.u.
raw total energy = -4.594 eV/atom
SG = No. 166

Cell lengths 8.8799, 8.8799, 8.8799 Å; angles 38.22, 38.22, 38.22 degrees
Atoms (fractional coordinates):
Tb1 0.1525 0.1525 0.1525
Tb2 0.8475 0.8475 0.8475
Nd1 0.0000 0.0000 0.0000
Nd2 0.2928 0.2928 0.2928
Nd3 0.4316 0.4316 0.4316
Nd4 0.5684 0.5684 0.5684
Nd5 0.7072 0.7072 0.7072

> What is the formula in the third record?

Tb2Nd5

> Which value of raw total energy does entry 1 give?

-4.661 eV/atom

> The highest raw total energy belongs to which entry?

Tb2Nd5